Density functional theory data (PBE) for crystalline PaRe2Ru at its relaxed geometry.

Properties
- ΔH_f (0 K) (eV per atom) = 0.60
- symmetry = R-3m, No. 166

abc: 2.8643 2.8643 9.8371
angles: 81.63 81.63 60.00
Closest atoms and distances in Å follow each position.
Element x y z (fractional)
Pa 0.0000 0.0000 0.0000  2 Re 2.71, 6 Pa 2.86
Re 0.0931 0.0931 0.7206  3 Ru 2.70, 1 Pa 2.71, 6 Re 2.86
Re 0.9069 0.9069 0.2794  3 Ru 2.70, 1 Pa 2.71, 6 Re 2.86
Ru 0.5000 0.5000 0.5000  6 Re 2.70, 6 Ru 2.86

Density functional theory data (PBE) for crystalline Na2MnSnS5 at its relaxed geometry.

Properties
- energy relative to the elements, uncorrected (kJ/mol of atoms) = -59.8
- symmetry = Cmc2_1, No. 36

abc: 3.6589 8.8840 12.8422
angles: 90.00 90.00 101.88
Closest atoms and distances in Å follow each position.
Element x y z (fractional)
Na 0.8743 0.7486 0.8142  5 S 2.94-3.06
Na 0.0957 0.1914 0.6492  6 S 2.84-3.00
Na 0.9043 0.8086 0.1492  6 S 2.84-3.00
Na 0.1257 0.2514 0.3142  5 S 2.94-3.06
S 0.7384 0.4768 0.1529  2 Mn 2.34
S 0.6414 0.2828 0.4921  1 Mn 2.18
S 0.2616 0.5232 0.6529  2 Mn 2.34
S 0.0627 0.1254 0.0567  2 Sn 2.45
S 0.3586 0.7172 0.9921  1 Mn 2.18
S 0.4948 0.9896 0.2754  1 Sn 2.33
S 0.9373 0.8746 0.5567  2 Sn 2.45
S 0.7143 0.4287 0.9137  1 Sn 2.44, 2 Mn 2.47
S 0.5052 0.0104 0.7754  1 Sn 2.33
S 0.2857 0.5713 0.4137  1 Sn 2.44, 2 Mn 2.47
Mn 0.7617 0.5234 0.5388  3 S 2.18-2.34
Mn 0.2383 0.4766 0.0388  3 S 2.18-2.34
Sn 0.4257 0.8513 0.4309  4 S 2.33-2.45
Sn 0.5743 0.1487 0.9309  4 S 2.33-2.45

Density functional theory data (PBE) for crystalline BaTl4Pb3 at its relaxed geometry.

Properties
- ΔH_f (0 K) (eV per atom) = -0.14
- symmetry = Pmma, No. 51

abc: 6.0461 7.6401 11.3514
angles: 90.00 90.00 90.00
Closest atoms and distances in Å follow each position.
Element x y z (fractional)
Tl 0.1309 0.7732 0.7500  5 Pb 3.40-3.55, 3 Tl 3.47-3.61, 2 Ba 3.61
Tl 0.5000 0.2285 0.5000  6 Pb 3.44-3.54, 3 Tl 3.49-3.61, 2 Ba 3.67
Tl 0.5000 0.2285 0.0000  6 Pb 3.44-3.54, 3 Tl 3.49-3.61, 2 Ba 3.67
Tl 0.5000 0.7715 0.0000  6 Pb 3.44-3.54, 3 Tl 3.49-3.61, 2 Ba 3.67
Tl 0.1309 0.2268 0.7500  5 Pb 3.40-3.55, 3 Tl 3.47-3.61, 2 Ba 3.61
Tl 0.5000 0.7715 0.5000  6 Pb 3.44-3.54, 3 Tl 3.49-3.61, 2 Ba 3.67
Tl 0.8691 0.2268 0.2500  5 Pb 3.40-3.55, 3 Tl 3.47-3.61, 2 Ba 3.61
Tl 0.8691 0.7732 0.2500  5 Pb 3.40-3.55, 3 Tl 3.47-3.61, 2 Ba 3.61
Pb 0.0000 0.0000 0.0000  8 Tl 3.42-3.49, 2 Pb 3.56, 2 Ba 3.82
Pb 0.0000 0.0000 0.5000  8 Tl 3.42-3.49, 2 Pb 3.56, 2 Ba 3.82
Pb 0.5755 0.5000 0.7500  6 Tl 3.40-3.54
Pb 0.3566 0.0000 0.2500  8 Tl 3.42-3.55, 2 Pb 3.56
Pb 0.4245 0.5000 0.2500  6 Tl 3.40-3.54
Pb 0.6434 0.0000 0.7500  8 Tl 3.42-3.55, 2 Pb 3.56
Ba 0.0000 0.5000 0.5000  8 Tl 3.61-3.67, 4 Pb 3.82-3.83
Ba 0.0000 0.5000 0.0000  8 Tl 3.61-3.67, 4 Pb 3.82-3.83

Density functional theory data (PBE) for crystalline K2AlSO4F3 at its relaxed geometry.

Properties
- energy relative to the elements, uncorrected (kJ/mol of atoms) = -242.8
- symmetry = Pbcn, No. 60

abc: 6.9643 8.4815 11.0662
angles: 90.00 90.00 90.00
Closest atoms and distances in Å follow each position.
Element x y z (fractional)
O 0.8288 0.4021 0.5989  1 S 1.47
O 0.0950 0.2984 0.9470  1 S 1.52
O 0.6712 0.4021 0.4011  1 S 1.47
O 0.5950 0.2016 0.5530  1 S 1.52
O 0.1712 0.5979 0.4011  1 S 1.47
O 0.3288 0.0979 0.9011  1 S 1.47
O 0.9050 0.7016 0.0530  1 S 1.52
O 0.4050 0.2984 0.0530  1 S 1.52
O 0.8288 0.9021 0.9011  1 S 1.47
O 0.9050 0.2016 0.4470  1 S 1.52
O 0.4050 0.7984 0.4470  1 S 1.52
O 0.1712 0.0979 0.0989  1 S 1.47
O 0.5950 0.7016 0.9470  1 S 1.52
O 0.6712 0.9021 0.0989  1 S 1.47
O 0.0950 0.7984 0.5530  1 S 1.52
O 0.3288 0.5979 0.5989  1 S 1.47
F 0.2500 0.5855 0.0000  2 Al 1.89
F 0.7500 0.9145 0.5000  2 Al 1.89
F 0.7500 0.4145 0.0000  2 Al 1.89
F 0.2500 0.0855 0.5000  2 Al 1.89
F 0.4778 0.9462 0.6554  1 Al 1.79
F 0.0222 0.9462 0.3446  1 Al 1.79
F 0.5222 0.5538 0.1554  1 Al 1.79
F 0.5222 0.0538 0.3446  1 Al 1.79
F 0.0222 0.4462 0.1554  1 Al 1.79
F 0.9778 0.0538 0.6554  1 Al 1.79
F 0.4778 0.4462 0.8446  1 Al 1.79
F 0.9778 0.5538 0.8446  1 Al 1.79
K 0.3059 0.3288 0.3016  3 O 2.70-2.85, 3 F 2.74-2.92
K 0.8059 0.6712 0.3016  3 O 2.70-2.85, 3 F 2.74-2.92
K 0.1941 0.8288 0.8016  3 O 2.70-2.85, 3 F 2.74-2.92
K 0.8059 0.1712 0.1984  3 O 2.70-2.85, 3 F 2.74-2.92
K 0.3059 0.8288 0.1984  3 O 2.70-2.85, 3 F 2.74-2.92
K 0.6941 0.6712 0.6984  3 O 2.70-2.85, 3 F 2.74-2.92
K 0.6941 0.1712 0.8016  3 O 2.70-2.85, 3 F 2.74-2.92
K 0.1941 0.3288 0.6984  3 O 2.70-2.85, 3 F 2.74-2.92
S 0.7500 0.3072 0.5000  4 O 1.47-1.52
S 0.2500 0.1928 0.0000  4 O 1.47-1.52
S 0.2500 0.6928 0.5000  4 O 1.47-1.52
S 0.7500 0.8072 0.0000  4 O 1.47-1.52
Al 0.5000 0.5000 0.0000  4 F 1.79-1.89, 2 O 1.93
Al 0.5000 0.0000 0.5000  4 F 1.79-1.89, 2 O 1.93
Al 0.0000 0.0000 0.5000  4 F 1.79-1.89, 2 O 1.93
Al 0.0000 0.5000 0.0000  4 F 1.79-1.89, 2 O 1.93

Density functional theory data (PBE) for crystalline PuNp3 at its relaxed geometry.

Properties
- ΔH_f (0 K) (eV per atom) = 0.40
- symmetry = Fm-3m, No. 225

abc: 4.7639 4.7639 4.7639
angles: 60.00 60.00 60.00
Closest atoms and distances in Å follow each position.
Element x y z (fractional)
Np 0.0000 0.0000 0.0000  4 Pu 2.92, 4 Np 2.92
Np 0.2500 0.2500 0.2500  8 Np 2.92
Np 0.5000 0.5000 0.5000  4 Np 2.92, 4 Pu 2.92
Pu 0.7500 0.7500 0.7500  8 Np 2.92

Density functional theory data (PBE) for crystalline ReN at its relaxed geometry.

Properties
- relative energy among the computed polymorphs (meV/atom) = 533
- energy relative to the elements, uncorrected (kJ/mol of atoms) = 55.6
- symmetry = Fddd, No. 70

abc: 8.1100 9.1129 6.7550
angles: 90.00 90.00 90.00
Closest atoms and distances in Å follow each position.
Element x y z (fractional)
Re 0.5000 0.6421 0.5000  4 N 2.00-2.08
Re 0.0000 0.3579 0.0000  4 N 2.00-2.08
Re 0.0000 0.1421 0.5000  4 N 2.00-2.08
Re 0.5000 0.8579 0.0000  4 N 2.00-2.08
Re 0.2500 0.3921 0.2500  4 N 2.00-2.08
Re 0.5000 0.3579 0.5000  4 N 2.00-2.08
Re 0.7500 0.6079 0.2500  4 N 2.00-2.08
Re 0.5000 0.1421 0.0000  4 N 2.00-2.08
Re 0.2500 0.8921 0.7500  4 N 2.00-2.08
Re 0.2500 0.1079 0.2500  4 N 2.00-2.08
Re 0.2500 0.6079 0.7500  4 N 2.00-2.08
Re 0.7500 0.3921 0.7500  4 N 2.00-2.08
Re 0.7500 0.8921 0.2500  4 N 2.00-2.08
Re 0.0000 0.8579 0.5000  4 N 2.00-2.08
Re 0.7500 0.1079 0.7500  4 N 2.00-2.08
Re 0.0000 0.6421 0.0000  4 N 2.00-2.08
N 0.7005 0.5000 0.5000  4 Re 2.00-2.08
N 0.2995 0.0000 0.0000  4 Re 2.00-2.08
N 0.0495 0.2500 0.2500  4 Re 2.00-2.08
N 0.9505 0.7500 0.2500  4 Re 2.00-2.08
N 0.4505 0.7500 0.7500  4 Re 2.00-2.08
N 0.7005 0.0000 0.0000  4 Re 2.00-2.08
N 0.2005 0.0000 0.5000  4 Re 2.00-2.08
N 0.4505 0.2500 0.2500  4 Re 2.00-2.08
N 0.7995 0.5000 0.0000  4 Re 2.00-2.08
N 0.2995 0.5000 0.5000  4 Re 2.00-2.08
N 0.0495 0.7500 0.7500  4 Re 2.00-2.08
N 0.5495 0.7500 0.2500  4 Re 2.00-2.08
N 0.5495 0.2500 0.7500  4 Re 2.00-2.08
N 0.9505 0.2500 0.7500  4 Re 2.00-2.08
N 0.7995 0.0000 0.5000  4 Re 2.00-2.08
N 0.2005 0.5000 0.0000  4 Re 2.00-2.08

Density functional theory data (PBE) for crystalline Tb3Ti2Ge4 at its relaxed geometry.

Properties
- ΔH_f (0 K) (eV per atom) = -0.70
- symmetry = C2/m, No. 12

abc: 4.0484 6.3523 8.5734
angles: 110.96 90.00 108.58
Closest atoms and distances in Å follow each position.
Element x y z (fractional)
Ge 0.7075 0.4150 0.0718  1 Ti 2.62, 2 Ge 2.76
Ge 0.9234 0.8469 0.5891  3 Ti 2.56-2.71, 1 Ge 2.80
Ge 0.2925 0.5850 0.9282  1 Ti 2.62, 2 Ge 2.76
Ge 0.0766 0.1531 0.4109  3 Ti 2.56-2.71, 1 Ge 2.80
Tb 0.6183 0.2366 0.7005  7 Ge 2.95-3.09, 3 Ti 3.27-3.29
Tb 0.3817 0.7634 0.2995  7 Ge 2.95-3.09, 3 Ti 3.27-3.29
Tb 0.0000 0.0000 0.0000  6 Ge 3.09-3.29
Ti 0.6925 0.3851 0.3689  4 Ge 2.56-2.71
Ti 0.3075 0.6149 0.6311  4 Ge 2.56-2.71

Density functional theory data (PBE) for crystalline Y12Ni6Te at its relaxed geometry.

Properties
- energy relative to the elements, uncorrected (kJ/mol of atoms) = -40.2
- symmetry = Im-3, No. 204

abc: 8.4825 8.4825 8.4825
angles: 109.47 109.47 109.47
Closest atoms and distances in Å follow each position.
Element x y z (fractional)
Y 0.5037 0.8113 0.6924  3 Ni 2.63-2.90
Y 0.4963 0.1887 0.3076  3 Ni 2.63-2.90
Y 0.3076 0.1190 0.8113  3 Ni 2.63-2.90
Y 0.3076 0.4963 0.1887  3 Ni 2.63-2.90
Y 0.6924 0.8810 0.1887  3 Ni 2.63-2.90
Y 0.1887 0.6924 0.8810  3 Ni 2.63-2.90
Y 0.1190 0.8113 0.3076  3 Ni 2.63-2.90
Y 0.8113 0.6924 0.5037  3 Ni 2.63-2.90
Y 0.8113 0.3076 0.1190  3 Ni 2.63-2.90
Y 0.8810 0.1887 0.6924  3 Ni 2.63-2.90
Y 0.1887 0.3076 0.4963  3 Ni 2.63-2.90
Y 0.6924 0.5037 0.8113  3 Ni 2.63-2.90
Ni 0.6233 0.5000 0.1233  1 Ni 2.42, 2 Y 2.63
Ni 0.5000 0.1233 0.6233  1 Ni 2.42, 2 Y 2.63
Ni 0.1233 0.6233 0.5000  1 Ni 2.42, 2 Y 2.63
Ni 0.3767 0.5000 0.8767  1 Ni 2.42, 2 Y 2.63
Ni 0.5000 0.8767 0.3767  1 Ni 2.42, 2 Y 2.63
Ni 0.8767 0.3767 0.5000  1 Ni 2.42, 2 Y 2.63
Te 0.0000 0.0000 0.0000  12 Y 3.53

Density functional theory data (PBE) for crystalline SrSn2RuSe at its relaxed geometry.

Properties
- energy relative to the elements, uncorrected (kJ/mol of atoms) = -35.1
- symmetry = P4/mmm, No. 123

abc: 5.0177 5.8423 5.0177
angles: 90.00 90.00 90.00
Closest atoms and distances in Å follow each position.
Element x y z (fractional)
Sr 0.0000 0.5000 0.0000  2 Ru 2.92
Se 0.5000 0.5000 0.5000  4 Sr 3.55, 8 Sn 3.85
Ru 0.0000 0.0000 0.0000  4 Sn 2.51
Sn 0.0000 0.0000 0.5000  2 Ru 2.51
Sn 0.5000 0.0000 0.0000  2 Ru 2.51

In eV per atom, the final energy values for the records above are, in order, -10.322, -4.669, -2.956, -5.745, -12.889, -9.810, -6.052, -6.491, -4.853.
In μB per atom, the magnetization values for the records above are, in order, 0.000, 0.334, 0.000, 0.012, 0.692, 0.000, 0.093, 0.000, 0.000.